A relaxed structure of Tb7CePm2, computed with PBE.

Computed properties:
Total magnetization, Bohr magnetons per cell: 0.89
ΔH_f (0 K), eV/atom: 0.182

abc: 14.8430 14.8430 3.4646
angles: 90.00 90.00 154.39
Fractional coordinates of all 10 atoms:
Tb 0.0000 0.0000 0.0000
Tb 0.1562 0.3521 0.0000
Tb 0.3131 0.6869 0.5000
Tb 0.3521 0.1562 0.0000
Tb 0.6479 0.8438 0.0000
Tb 0.6869 0.3131 0.5000
Tb 0.8438 0.6479 0.0000
Ce 0.5000 0.5000 0.5000
Pm 0.2054 0.7946 0.0000
Pm 0.7946 0.2054 0.0000